Ca2AcCeSe4: optimized geometry, PBE-GGA.

Calculated values
Formation energy (no corrections)   -1.88 eV/atom
Calculated total energy   -43.0 eV per formula unit

Cell lengths 7.386, 4.257, 7.511 Å; angles 90.00, 109.10, 90.00 degrees
Space group P2/m (No. 10)
Asymmetric unit:
Ca1 0.000 0.000 0.000 (multiplicity 1)
Ca2 0.500 0.500 0.000 (multiplicity 1)
Ac1 0.000 0.500 0.500 (multiplicity 1)
Ce1 0.500 0.000 0.500 (multiplicity 1)
Se1 0.253 0.500 0.239 (multiplicity 2)
Se2 0.262 0.000 0.766 (multiplicity 2)